Material: Ca2AsPdAu
Method: DFT, PBE-GGA
State: optimized geometry

Unit cell a=5.5743 b=4.6244 c=5.5743 alpha=90.00 beta=90.00 gamma=90.00
Closest atoms and distances in Å follow each position.
Fractional positions:
As (0.0000, 0.0000, 0.0000)  2 Pd 2.31
Au (0.5000, 0.5000, 0.5000)  8 Ca 3.62, 4 Pd 3.94
Ca (0.0000, 0.0000, 0.5000)  2 As 2.79
Ca (0.5000, 0.0000, 0.0000)  2 As 2.79
Pd (0.0000, 0.5000, 0.0000)  2 As 2.31

Output
**Energy of formation**: -12.08 kcal/mol of atoms
**Total DFT energy (no corrections)**: -3.948 eV/atom